# 1
# Ni2WAu | the Alexandria database | PBE-GGA | relaxed
data_Ni2WAu
_chemical_formula_sum 'Ni8 W4 Au4'
_cell_length_a 6.020
_cell_length_b 6.020
_cell_length_c 6.020
_cell_angle_alpha 90.00
_cell_angle_beta 90.00
_cell_angle_gamma 90.00
_symmetry_space_group_name_H-M 'F m -3 m'
_symmetry_Int_Tables_number 225
_symmetry_space_group_name_Hall '-F 4 2 3'
loop_
_atom_site_label
_atom_site_type_symbol
_atom_site_fract_x
_atom_site_fract_y
_atom_site_fract_z
Ni1 Ni 0.250 0.250 0.250
W1 W 0.000 0.000 0.000
Au1 Au 0.000 0.000 0.500
# Formation energy from the elements   0.67 eV per formula unit
# M_tot   0.00 μB/f.u.
# Crystal system   cubic
# Volume   55 Å³/f.u.

# 2
# NiWAu2 | the Alexandria database | PBE-GGA | relaxed
data_NiWAu2
_chemical_formula_sum 'Ni1 W1 Au2'
_cell_length_a 2.802
_cell_length_b 2.807
_cell_length_c 7.976
_cell_angle_alpha 90.00
_cell_angle_beta 90.08
_cell_angle_gamma 90.00
_symmetry_space_group_name_H-M 'P 1 m 1'
_symmetry_Int_Tables_number 6
loop_
_symmetry_equiv_pos_as_xyz
'x,y,z'
'x,-y,z'
loop_
_atom_site_label
_atom_site_type_symbol
_atom_site_fract_x
_atom_site_fract_y
_atom_site_fract_z
Ni1 Ni 0.000 0.000 0.000
W1 W 0.499 0.500 0.792
Au1 Au 0.500 0.500 0.239
Au2 Au 0.998 0.000 0.525
# Formation energy from the elements   0.50 eV per formula unit
# M_tot   0.00 μB/f.u.
# Crystal system   monoclinic
# Volume   63 Å³/f.u.

# 3
# Ni2WAu | the Alexandria database | PBE-GGA | relaxed
data_Ni2WAu
_chemical_formula_sum 'Ni4 W2 Au2'
_cell_length_a 5.596
_cell_length_b 7.325
_cell_length_c 2.714
_cell_angle_alpha 90.00
_cell_angle_beta 90.00
_cell_angle_gamma 90.00
_symmetry_space_group_name_H-M 'C m m m'
_symmetry_Int_Tables_number 65
_symmetry_space_group_name_Hall '-C 2 2'
loop_
_atom_site_label
_atom_site_type_symbol
_atom_site_fract_x
_atom_site_fract_y
_atom_site_fract_z
Ni1 Ni 0.250 0.250 0.000
W1 W 0.000 0.000 0.500
Au1 Au 0.000 0.500 0.500
# Formation energy from the elements   0.93 eV per formula unit
# M_tot   0.00 μB/f.u.
# Crystal system   orthorhombic
# Volume   56 Å³/f.u.

# 4
# Ni4WAu | the Alexandria database | PBE-GGA | relaxed
data_Ni4WAu
_chemical_formula_sum 'Ni16 W4 Au4'
_cell_length_a 6.698
_cell_length_b 6.698
_cell_length_c 6.698
_cell_angle_alpha 90.00
_cell_angle_beta 90.00
_cell_angle_gamma 90.00
_symmetry_space_group_name_H-M 'F -4 3 m'
_symmetry_Int_Tables_number 216
_symmetry_space_group_name_Hall 'F -4 2 3'
loop_
_atom_site_label
_atom_site_type_symbol
_atom_site_fract_x
_atom_site_fract_y
_atom_site_fract_z
Ni1 Ni 0.125 0.125 0.125
W1 W 0.000 0.000 0.500
Au1 Au 0.250 0.250 0.750
# Formation energy from the elements   0.26 eV per formula unit
# M_tot   0.00 μB/f.u.
# Crystal system   cubic
# Volume   75 Å³/f.u.

# 5
# Ni2WAu | the Alexandria database | PBE-GGA | relaxed
data_Ni2WAu
_chemical_formula_sum 'Ni2 W1 Au1'
_cell_length_a 2.777
_cell_length_b 4.388
_cell_length_c 4.722
_cell_angle_alpha 90.00
_cell_angle_beta 90.00
_cell_angle_gamma 90.00
_symmetry_space_group_name_H-M 'P m m m'
_symmetry_Int_Tables_number 47
loop_
_symmetry_equiv_pos_as_xyz
'x,y,z'
'-x,-y,-z'
'-x,-y,z'
'x,y,-z'
'x,-y,-z'
'-x,y,z'
'-x,y,-z'
'x,-y,z'
loop_
_atom_site_label
_atom_site_type_symbol
_atom_site_fract_x
_atom_site_fract_y
_atom_site_fract_z
Ni1 Ni 0.000 0.000 0.000
Ni2 Ni 0.500 0.000 0.500
W1 W 0.000 0.500 0.500
Au1 Au 0.500 0.500 0.000
# Formation energy from the elements   1.71 eV per formula unit
# M_tot   0.64 μB/f.u.
# Crystal system   orthorhombic
# Volume   58 Å³/f.u.

# 6
# Ni6WAu | the Alexandria database | PBE-GGA | relaxed
data_Ni6WAu
_chemical_formula_sum 'Ni48 W8 Au8'
_cell_length_a 7.328
_cell_length_b 10.358
_cell_length_c 10.401
_cell_angle_alpha 90.00
_cell_angle_beta 90.00
_cell_angle_gamma 90.00
_symmetry_space_group_name_H-M 'C m m m'
_symmetry_Int_Tables_number 65
_symmetry_space_group_name_Hall '-C 2 2'
loop_
_atom_site_label
_atom_site_type_symbol
_atom_site_fract_x
_atom_site_fract_y
_atom_site_fract_z
Ni1 Ni 0.000 0.000 0.000
Ni2 Ni 0.000 0.000 0.500
Ni3 Ni 0.000 0.246 0.241
Ni4 Ni 0.000 0.500 0.000
Ni5 Ni 0.000 0.500 0.500
Ni6 Ni 0.241 0.123 0.369
Ni7 Ni 0.245 0.127 0.120
W1 W 0.000 0.000 0.255
W2 W 0.000 0.247 0.000
Au1 Au 0.000 0.255 0.500
Au2 Au 0.000 0.500 0.250
# Formation energy from the elements   -0.14 eV per formula unit
# M_tot   0.00 μB/f.u.
# Crystal system   orthorhombic
# Volume   99 Å³/f.u.

# 7
# NiWAu2 | the Alexandria database | PBE-GGA | relaxed
data_NiWAu2
_chemical_formula_sum 'Ni2 W2 Au4'
_cell_length_a 9.172
_cell_length_b 2.781
_cell_length_c 5.012
_cell_angle_alpha 90.00
_cell_angle_beta 99.31
_cell_angle_gamma 90.00
_symmetry_space_group_name_H-M 'C 1 m 1'
_symmetry_Int_Tables_number 8
loop_
_symmetry_equiv_pos_as_xyz
'x,y,z'
'x,-y,z'
'x+1/2,y+1/2,z'
'x+1/2,-y+1/2,z'
loop_
_atom_site_label
_atom_site_type_symbol
_atom_site_fract_x
_atom_site_fract_y
_atom_site_fract_z
Ni1 Ni 0.000 0.000 0.000
W1 W 0.235 0.500 0.211
Au1 Au 0.249 0.000 0.735
Au2 Au 0.489 0.000 0.460
# Formation energy from the elements   1.12 eV per formula unit
# M_tot   0.00 μB/f.u.
# Crystal system   monoclinic
# Volume   63 Å³/f.u.

# 8
# NiW3Au | the Alexandria database | PBE-GGA | relaxed
data_NiW3Au
_chemical_formula_sum 'Ni1 W3 Au1'
_cell_length_a 4.467
_cell_length_b 4.467
_cell_length_c 4.467
_cell_angle_alpha 90.00
_cell_angle_beta 90.00
_cell_angle_gamma 90.00
_symmetry_space_group_name_H-M 'P m -3 m'
_symmetry_Int_Tables_number 221
_symmetry_space_group_name_Hall '-P 4 2 3'
loop_
_atom_site_label
_atom_site_type_symbol
_atom_site_fract_x
_atom_site_fract_y
_atom_site_fract_z
Ni1 Ni 0.000 0.000 0.000
W1 W 0.000 0.000 0.500
Au1 Au 0.500 0.500 0.500
# Formation energy from the elements   7.36 eV per formula unit
# M_tot   0.00 μB/f.u.
# Crystal system   cubic
# Volume   89 Å³/f.u.

The calculation returns the following D(E_F) values, one per record and in order: 13.4 3.9 7.6 21.0 5.5 56.1 6.5 4.6 states/eV/cell.